Record 1
TlAs: relaxed, PBE.

abc: 6.5883 6.5883 7.5801
angles: 99.14 99.14 31.04
With the nearest neighbours (Å) after each atom.
Element x y z (fractional)
Tl: 0.0000 0.0000 0.0000  7 As 3.30-3.56, 2 Tl 3.53
Tl: 0.0478 0.0478 0.5109  4 As 3.20-3.31, 5 Tl 3.42-3.53
Tl: 0.3265 0.3265 0.5775  4 As 3.21-3.26, 5 Tl 3.42-3.53
As: 0.2670 0.2670 0.0690  4 As 2.60-2.69
As: 0.6788 0.6788 0.2689  2 As 2.69
As: 0.6984 0.6984 0.8250  2 As 2.60

Summary:
Spin magnetization: 0.0 μB/f.u.
DFT formation energy: 0.2 eV per formula unit

Record 2
Tl17As12: relaxed, PBE.

abc: 10.2631 10.2631 10.2631
angles: 109.47 109.47 109.47
With the nearest neighbours (Å) after each atom.
Element x y z (fractional)
Tl: 0.0000 0.0000 0.0000  12 As 3.57, 4 Tl 3.78
Tl: 0.0000 0.0000 0.3682  4 Tl 3.40-3.78, 9 As 3.54-3.69
Tl: 0.0000 0.3268 0.5999  3 As 3.32-3.37, 7 Tl 3.35-3.58
Tl: 0.0000 0.3682 0.0000  4 Tl 3.40-3.78, 9 As 3.54-3.69
Tl: 0.0000 0.5999 0.3268  3 As 3.32-3.37, 7 Tl 3.35-3.58
Tl: 0.2731 0.6732 0.6732  3 As 3.32-3.37, 7 Tl 3.35-3.58
Tl: 0.3268 0.0000 0.5999  3 As 3.32-3.37, 7 Tl 3.35-3.58
Tl: 0.3268 0.5999 0.0000  3 As 3.32-3.37, 7 Tl 3.35-3.58
Tl: 0.3682 0.0000 0.0000  4 Tl 3.40-3.78, 9 As 3.54-3.69
Tl: 0.4001 0.4001 0.7269  3 As 3.32-3.37, 7 Tl 3.35-3.58
Tl: 0.4001 0.7269 0.4001  3 As 3.32-3.37, 7 Tl 3.35-3.58
Tl: 0.5999 0.0000 0.3268  3 As 3.32-3.37, 7 Tl 3.35-3.58
Tl: 0.5999 0.3268 0.0000  3 As 3.32-3.37, 7 Tl 3.35-3.58
Tl: 0.6318 0.6318 0.6318  4 Tl 3.40-3.78, 9 As 3.54-3.69
Tl: 0.6732 0.2731 0.6732  3 As 3.32-3.37, 7 Tl 3.35-3.58
Tl: 0.6732 0.6732 0.2731  3 As 3.32-3.37, 7 Tl 3.35-3.58
Tl: 0.7269 0.4001 0.4001  3 As 3.32-3.37, 7 Tl 3.35-3.58
As: 0.0000 0.6318 0.8488  2 As 2.53
As: 0.0000 0.8488 0.6318  2 As 2.53
As: 0.1512 0.1512 0.7830  2 As 2.53
As: 0.1512 0.7830 0.1512  2 As 2.53
As: 0.2170 0.3682 0.3682  2 As 2.53
As: 0.3682 0.2170 0.3682  2 As 2.53
As: 0.3682 0.3682 0.2170  2 As 2.53
As: 0.6318 0.0000 0.8488  2 As 2.53
As: 0.6318 0.8488 0.0000  2 As 2.53
As: 0.7830 0.1512 0.1512  2 As 2.53
As: 0.8488 0.0000 0.6318  2 As 2.53
As: 0.8488 0.6318 0.0000  2 As 2.53

Summary:
Spin magnetization: 0.0 μB/f.u.
DFT formation energy: 2.5 eV per formula unit

Record 3
Tl5As2: relaxed, PBE.

abc: 8.8476 8.8476 7.3384
angles: 92.02 92.02 47.16
With the nearest neighbours (Å) after each atom.
Element x y z (fractional)
Tl: 0.0499 0.9501 0.7500  4 As 2.94-3.01
Tl: 0.1475 0.2990 0.2940  2 As 3.02-3.38
Tl: 0.2523 0.5496 0.0431  3 As 2.99-3.29
Tl: 0.2990 0.1475 0.7940  2 As 3.02-3.38
Tl: 0.4504 0.7477 0.4569  3 As 2.99-3.29
Tl: 0.5496 0.2523 0.5431  3 As 2.99-3.29
Tl: 0.7010 0.8525 0.2060  2 As 3.02-3.38
Tl: 0.7477 0.4504 0.9569  3 As 2.99-3.29
Tl: 0.8525 0.7010 0.7060  2 As 3.02-3.38
Tl: 0.9501 0.0499 0.2500  4 As 2.94-3.01
As: 0.1385 0.6671 0.4556  6 Tl 2.94-3.29
As: 0.3329 0.8615 0.0444  6 Tl 2.94-3.29
As: 0.6671 0.1385 0.9556  6 Tl 2.94-3.29
As: 0.8615 0.3329 0.5444  6 Tl 2.94-3.29

Summary:
Spin magnetization: 0.0 μB/f.u.
DFT formation energy: 0.3 eV per formula unit

Record 4
TlAs3: relaxed, PBE.

abc: 5.4396 5.4396 5.4396
angles: 90.00 90.00 90.00
With the nearest neighbours (Å) after each atom.
Element x y z (fractional)
Tl: 0.0000 0.0000 0.0000  6 As 2.72
As: 0.0000 0.0000 0.5000  2 Tl 2.72
As: 0.0000 0.5000 0.0000  2 Tl 2.72
As: 0.5000 0.0000 0.0000  2 Tl 2.72

Summary:
Spin magnetization: 0.0 μB/f.u.
DFT formation energy: 5.7 eV per formula unit

Record 5
TlAs: relaxed, PBE.

abc: 9.7201 3.6735 6.4217
angles: 90.00 90.00 90.00
With the nearest neighbours (Å) after each atom.
Element x y z (fractional)
Tl: 0.1581 0.2500 0.1034  6 As 3.33-3.38, 2 Tl 3.67
Tl: 0.3419 0.7500 0.6034  6 As 3.33-3.38, 2 Tl 3.67
Tl: 0.6581 0.2500 0.3966  6 As 3.33-3.38, 2 Tl 3.67
Tl: 0.8419 0.7500 0.8966  6 As 3.33-3.38, 2 Tl 3.67
As: 0.0533 0.2500 0.6057  2 As 2.51
As: 0.4467 0.7500 0.1057  2 As 2.51
As: 0.5533 0.2500 0.8943  2 As 2.51
As: 0.9467 0.7500 0.3943  2 As 2.51

Summary:
Spin magnetization: 0.0 μB/f.u.
DFT formation energy: 0.0 eV per formula unit

Record 6
TlAs3: relaxed, PBE.

abc: 3.5931 4.9928 5.9253
angles: 90.00 90.00 90.00
With the nearest neighbours (Å) after each atom.
Element x y z (fractional)
Tl: 0.0000 0.0000 0.0000  4 As 3.23-3.27, 2 Tl 3.59
As: 0.0000 0.5000 0.6444  2 As 2.49
As: 0.5000 0.0000 0.5476  2 As 2.75
As: 0.5000 0.5000 0.3527  4 As 2.49-2.75

Summary:
Spin magnetization: 0.0 μB/f.u.
DFT formation energy: 0.8 eV per formula unit